# PBE Rb3ThCd2O6, optimized geometry
# total DFT energy (no corrections) = -0.3813 Ry/atom
# ΔE_f (raw) = -1.695 eV/atom
data_Rb3ThCd2O6
_chemical_formula_sum 'Rb6 Th2 Cd4 O12'
_space_group_name_H-M_alt 'C 1 2/m 1'
_space_group_IT_number 12
_space_group_name_Hall '-C 2y'
_cell_length_a 6.083
_cell_length_b 10.774
_cell_length_c 6.849
_cell_angle_alpha 90.00
_cell_angle_beta 106.17
_cell_angle_gamma 90.00
loop_
_atom_site_label
_atom_site_type_symbol
_atom_site_fract_x
_atom_site_fract_y
_atom_site_fract_z
Rb1 Rb 0.000 0.000 0.000
Rb2 Rb 0.000 0.324 0.000
Th1 Th 0.000 0.500 0.500
Cd1 Cd 0.000 0.168 0.500
O1 O 0.229 0.340 0.685
O2 O 0.247 0.000 0.694

=====

# PBE RbTiCd2O4, optimized geometry
# total DFT energy (no corrections) = -0.4083 Ry/atom
# ΔE_f (raw) = -1.739 eV/atom
data_RbTiCd2O4
_chemical_formula_sum 'Rb2 Ti2 Cd4 O8'
_space_group_name_H-M_alt 'I -4 2 m'
_space_group_IT_number 121
_space_group_name_Hall 'I -4 2'
_cell_length_a 5.903
_cell_length_b 5.903
_cell_length_c 7.953
_cell_angle_alpha 90.00
_cell_angle_beta 90.00
_cell_angle_gamma 90.00
loop_
_atom_site_label
_atom_site_type_symbol
_atom_site_fract_x
_atom_site_fract_y
_atom_site_fract_z
Rb1 Rb 0.000 0.000 0.000
Ti1 Ti 0.000 0.000 0.500
Cd1 Cd 0.000 0.500 0.250
O1 O 0.180 0.180 0.364

=====

# PBE Rb2TiCdO4, optimized geometry
# total DFT energy (no corrections) = -0.4171 Ry/atom
# ΔE_f (raw) = -1.853 eV/atom
data_Rb2TiCdO4
_chemical_formula_sum 'Rb16 Ti8 Cd8 O32'
_space_group_name_H-M_alt 'F d d d'
_space_group_IT_number 70
_cell_length_a 5.481
_cell_length_b 12.486
_cell_length_c 21.329
_cell_angle_alpha 90.00
_cell_angle_beta 90.00
_cell_angle_gamma 90.00
loop_
_space_group_symop_operation_xyz
'x,y,z'
'-x,-y,-z'
'-x+1/4,-y+1/4,z'
'x+1/4,y+1/4,-z'
'x,-y+1/4,-z+1/4'
'-x,y+1/4,z+1/4'
'-x+1/4,y,-z+1/4'
'x+1/4,-y,z+1/4'
'x,y+1/2,z+1/2'
'-x,-y+1/2,-z+1/2'
'-x+1/4,-y+3/4,z+1/2'
'x+1/4,y+3/4,-z+1/2'
'x,-y+3/4,-z+3/4'
'-x,y+3/4,z+3/4'
'-x+1/4,y+1/2,-z+3/4'
'x+1/4,-y+1/2,z+3/4'
'x+1/2,y,z+1/2'
'-x+1/2,-y,-z+1/2'
'-x+3/4,-y+1/4,z+1/2'
'x+3/4,y+1/4,-z+1/2'
'x+1/2,-y+1/4,-z+3/4'
'-x+1/2,y+1/4,z+3/4'
'-x+3/4,y,-z+3/4'
'x+3/4,-y,z+3/4'
'x+1/2,y+1/2,z'
'-x+1/2,-y+1/2,-z'
'-x+3/4,-y+3/4,z'
'x+3/4,y+3/4,-z'
'x+1/2,-y+3/4,-z+1/4'
'-x+1/2,y+3/4,z+1/4'
'-x+3/4,y+1/2,-z+1/4'
'x+3/4,-y+1/2,z+1/4'
loop_
_atom_site_label
_atom_site_type_symbol
_atom_site_fract_x
_atom_site_fract_y
_atom_site_fract_z
Rb1 Rb 0.125 0.125 0.303
Ti1 Ti 0.125 0.125 0.625
Cd1 Cd 0.125 0.125 0.125
O1 O 0.078 0.287 0.829

=====

# PBE Rb2TlCdO4, optimized geometry
# total DFT energy (no corrections) = -0.2969 Ry/atom
# ΔE_f (raw) = -0.908 eV/atom
data_Rb2TlCdO4
_chemical_formula_sum 'Rb2 Tl1 Cd1 O4'
_space_group_name_H-M_alt 'P 1 2/m 1'
_space_group_IT_number 10
_space_group_name_Hall '-P 2y'
_cell_length_a 6.334
_cell_length_b 3.446
_cell_length_c 6.825
_cell_angle_alpha 90.00
_cell_angle_beta 110.35
_cell_angle_gamma 90.00
loop_
_atom_site_label
_atom_site_type_symbol
_atom_site_fract_x
_atom_site_fract_y
_atom_site_fract_z
Rb1 Rb 0.000 0.000 0.000
Rb2 Rb 0.500 0.500 0.000
Tl1 Tl 0.000 0.500 0.500
Cd1 Cd 0.500 0.000 0.500
O1 O 0.213 0.000 0.690
O2 O 0.284 0.500 0.319

=====

# PBE RbTlCdO3, optimized geometry
# total DFT energy (no corrections) = -0.3015 Ry/atom
# ΔE_f (raw) = -0.915 eV/atom
data_RbTlCdO3
_chemical_formula_sum 'Rb2 Tl2 Cd2 O6'
_space_group_name_H-M_alt 'P 1 21/m 1'
_space_group_IT_number 11
_space_group_name_Hall '-P 2yb'
_cell_length_a 6.208
_cell_length_b 3.577
_cell_length_c 9.271
_cell_angle_alpha 90.00
_cell_angle_beta 100.24
_cell_angle_gamma 90.00
loop_
_atom_site_label
_atom_site_type_symbol
_atom_site_fract_x
_atom_site_fract_y
_atom_site_fract_z
Rb1 Rb 0.144 0.250 0.183
Tl1 Tl 0.258 0.750 0.543
Cd1 Cd 0.383 0.250 0.860
O1 O 0.063 0.250 0.631
O2 O 0.285 0.750 0.970
O3 O 0.490 0.750 0.366

=====

# PBE Rb2TlCd2O4, optimized geometry
# total DFT energy (no corrections) = -0.2815 Ry/atom
# ΔE_f (raw) = -0.945 eV/atom
data_Rb2TlCd2O4
_chemical_formula_sum 'Rb4 Tl2 Cd4 O8'
_space_group_name_H-M_alt 'C 1 2/m 1'
_space_group_IT_number 12
_space_group_name_Hall '-C 2y'
_cell_length_a 17.246
_cell_length_b 3.652
_cell_length_c 6.530
_cell_angle_alpha 90.00
_cell_angle_beta 93.84
_cell_angle_gamma 90.00
loop_
_atom_site_label
_atom_site_type_symbol
_atom_site_fract_x
_atom_site_fract_y
_atom_site_fract_z
Rb1 Rb 0.151 0.000 0.085
Tl1 Tl 0.000 0.000 0.500
Cd1 Cd 0.180 0.500 0.556
O1 O 0.070 0.500 0.368
O2 O 0.230 0.000 0.711

=====

# PBE RbTlCd2O4, optimized geometry
# total DFT energy (no corrections) = -0.2981 Ry/atom
# ΔE_f (raw) = -0.931 eV/atom
data_RbTlCd2O4
_chemical_formula_sum 'Rb2 Tl2 Cd4 O8'
_space_group_name_H-M_alt 'I -4 2 m'
_space_group_IT_number 121
_space_group_name_Hall 'I -4 2'
_cell_length_a 5.730
_cell_length_b 5.730
_cell_length_c 9.244
_cell_angle_alpha 90.00
_cell_angle_beta 90.00
_cell_angle_gamma 90.00
loop_
_atom_site_label
_atom_site_type_symbol
_atom_site_fract_x
_atom_site_fract_y
_atom_site_fract_z
Rb1 Rb 0.000 0.000 0.000
Tl1 Tl 0.000 0.000 0.500
Cd1 Cd 0.000 0.500 0.250
O1 O 0.209 0.209 0.350

=====

# PBE RbTlCdO2, optimized geometry
# total DFT energy (no corrections) = -0.2764 Ry/atom
# ΔE_f (raw) = -0.927 eV/atom
data_RbTlCdO2
_chemical_formula_sum 'Rb4 Tl4 Cd4 O8'
_space_group_name_H-M_alt 'C 1 2/m 1'
_space_group_IT_number 12
_space_group_name_Hall '-C 2y'
_cell_length_a 18.118
_cell_length_b 3.834
_cell_length_c 7.640
_cell_angle_alpha 90.00
_cell_angle_beta 111.30
_cell_angle_gamma 90.00
loop_
_atom_site_label
_atom_site_type_symbol
_atom_site_fract_x
_atom_site_fract_y
_atom_site_fract_z
Rb1 Rb 0.127 0.000 0.223
Tl1 Tl 0.173 0.000 0.711
Cd1 Cd 0.025 0.500 0.705
O1 O 0.070 0.000 0.842
O2 O 0.100 0.500 0.501

=====

# PBE RbTmCdO3, optimized geometry
# total DFT energy (no corrections) = -0.4146 Ry/atom
# ΔE_f (raw) = -2.102 eV/atom
data_RbTmCdO3
_chemical_formula_sum 'Rb2 Tm2 Cd2 O6'
_space_group_name_H-M_alt 'P 1 21/m 1'
_space_group_IT_number 11
_space_group_name_Hall '-P 2yb'
_cell_length_a 6.920
_cell_length_b 3.533
_cell_length_c 9.515
_cell_angle_alpha 90.00
_cell_angle_beta 108.10
_cell_angle_gamma 90.00
loop_
_atom_site_label
_atom_site_type_symbol
_atom_site_fract_x
_atom_site_fract_y
_atom_site_fract_z
Rb1 Rb 0.132 0.250 0.179
Tm1 Tm 0.382 0.250 0.847
Cd1 Cd 0.191 0.750 0.544
O1 O 0.057 0.250 0.660
O2 O 0.319 0.750 0.981
O3 O 0.459 0.750 0.723

=====

# PBE Rb2TmCd2O4, optimized geometry
# total DFT energy (no corrections) = -0.3529 Ry/atom
# ΔE_f (raw) = -1.682 eV/atom
data_Rb2TmCd2O4
_chemical_formula_sum 'Rb4 Tm2 Cd4 O8'
_space_group_name_H-M_alt 'C 1 2/m 1'
_space_group_IT_number 12
_space_group_name_Hall '-C 2y'
_cell_length_a 13.248
_cell_length_b 3.512
_cell_length_c 9.694
_cell_angle_alpha 90.00
_cell_angle_beta 127.93
_cell_angle_gamma 90.00
loop_
_atom_site_label
_atom_site_type_symbol
_atom_site_fract_x
_atom_site_fract_y
_atom_site_fract_z
Rb1 Rb 0.149 0.000 0.277
Tm1 Tm 0.000 0.500 0.500
Cd1 Cd 0.161 0.000 0.855
O1 O 0.030 0.500 0.759
O2 O 0.140 0.000 0.605

=====

# PBE Rb2UCdO6, optimized geometry
# total DFT energy (no corrections) = -0.4628 Ry/atom
# ΔE_f (raw) = -1.908 eV/atom
data_Rb2UCdO6
_chemical_formula_sum 'Rb8 U4 Cd4 O24'
_space_group_name_H-M_alt 'F m -3 m'
_space_group_IT_number 225
_space_group_name_Hall '-F 4 2 3'
_cell_length_a 8.680
_cell_length_b 8.680
_cell_length_c 8.680
_cell_angle_alpha 90.00
_cell_angle_beta 90.00
_cell_angle_gamma 90.00
loop_
_atom_site_label
_atom_site_type_symbol
_atom_site_fract_x
_atom_site_fract_y
_atom_site_fract_z
Rb1 Rb 0.250 0.250 0.250
U1 U 0.000 0.000 0.000
Cd1 Cd 0.000 0.000 0.500
O1 O 0.000 0.000 0.234

=====

# PBE RbUCd2O6, optimized geometry
# total DFT energy (no corrections) = -0.4543 Ry/atom
# ΔE_f (raw) = -1.798 eV/atom
data_RbUCd2O6
_chemical_formula_sum 'Rb4 U4 Cd8 O24'
_space_group_name_H-M_alt 'C 1 2/c 1'
_space_group_IT_number 15
_space_group_name_Hall '-C 2yc'
_cell_length_a 11.824
_cell_length_b 8.082
_cell_length_c 7.879
_cell_angle_alpha 90.00
_cell_angle_beta 120.70
_cell_angle_gamma 90.00
loop_
_atom_site_label
_atom_site_type_symbol
_atom_site_fract_x
_atom_site_fract_y
_atom_site_fract_z
Rb1 Rb 0.000 0.248 0.250
U1 U 0.000 0.251 0.750
Cd1 Cd 0.250 0.000 0.249
O1 O 0.100 0.070 0.945
O2 O 0.101 0.433 0.943
O3 O 0.160 0.250 0.676

=====

Which of these has the highest total DFT energy (no corrections)?
RbTlCdO2

=====

Which value of total DFT energy (no corrections) does entry 3 give?
-0.4171 Ry/atom

=====

Which value of ΔE_f (raw) does entry 5 give?
-0.915 eV/atom

=====

ΔE_f (raw) of number 5 (RbTlCdO3)?
-0.915 eV/atom